Record 1
Below is a crystal of Cs3ZnCr relaxed with PBEsol, with properties calculated at the meta-GGA SCAN level.

POSCAR file:
```
Cs3ZnCr
1.0
-4.665 4.652 1.716
-4.865 -3.838 -2.820
-0.959 -3.159 5.954
Cs Zn Cr
3 1 1
Direct
0.500 0.000 0.000 Cs
0.000 0.500 0.000 Cs
0.000 0.000 0.500 Cs
0.000 0.000 0.000 Zn
0.500 0.500 0.500 Cr
```

Record 2
Below is a crystal of CrCu relaxed with PBEsol, with properties calculated at the meta-GGA SCAN level.

POSCAR file:
```
CrCu
1.0
-2.173 2.781 1.488
-1.322 -3.592 -0.147
1.634 -0.757 3.801
Cu Cr
2 2
Direct
0.333 0.667 0.250 Cu
0.667 0.333 0.750 Cu
0.000 0.000 0.000 Cr
0.000 0.000 0.500 Cr
```

Record 3
Below is a crystal of CrCu3 relaxed with PBEsol, with properties calculated at the meta-GGA SCAN level.

POSCAR file:
```
CrCu3
1.0
-2.180 0.391 -1.009
1.934 -3.112 -2.448
-1.898 -2.713 3.049
Cu Cr
3 1
Direct
0.500 0.000 0.500 Cu
0.751 0.501 0.251 Cu
0.249 0.499 0.749 Cu
0.000 0.000 0.000 Cr
```

no.,total energy (eV/atom),ΔH_f (0 K) (eV/atom)
1,-28.45,0.61
2,-15.65,1.15
3,-15.79,0.21